(1)
Density functional theory data (PBE) for crystalline NaH6BrO5 at its relaxed geometry.

a b c (Å): 5.4975 6.5411 9.1067
angles (deg): 72.10 88.45 70.90
Positions (direct):
Na 0.2322 0.0439 0.0995
Na 0.7678 0.9561 0.9005
H 0.0858 0.9260 0.6512
H 0.1149 0.8270 0.4318
H 0.2000 0.1693 0.7580
H 0.2471 0.5957 0.0637
H 0.2958 0.3712 0.7570
H 0.3494 0.7372 0.9200
H 0.6506 0.2628 0.0800
H 0.7042 0.6288 0.2430
H 0.7529 0.4043 0.9363
H 0.8000 0.8307 0.2420
H 0.8851 0.1730 0.5682
H 0.9142 0.0740 0.3488
Br 0.4038 0.3278 0.3680
Br 0.5962 0.6722 0.6320
O 0.0137 0.9266 0.3320
O 0.2118 0.7545 0.9916
O 0.2796 0.6638 0.6201
O 0.3175 0.2107 0.8155
O 0.3478 0.3223 0.1816
O 0.6522 0.6777 0.8184
O 0.6825 0.7893 0.1845
O 0.7204 0.3362 0.3799
O 0.7882 0.2455 0.0084
O 0.9863 0.0734 0.6680

Summary:
Final energy   -119.6 eV per cell
Density   2.1 g/cm3
V   293.5 Å³ per cell
Size of the total moment   0.0 μB per formula unit

***

(2)
Density functional theory data (PBE) for crystalline YFe2Co at its relaxed geometry.

a b c (Å): 5.0409 5.0409 2.9039
angles (deg): 101.60 101.60 117.48
Positions (direct):
Y 0.0000 0.0000 0.0000
Fe 0.0000 0.5000 0.5000
Fe 0.5000 0.0000 0.5000
Co 0.5000 0.5000 0.0000

Summary:
Final energy   -29.0 eV per cell
Density   7.1 g/cm3
V   60.3 Å³ per cell
Energy relative to the elements   0.37 eV per atom
Size of the total moment   5.6 μB per formula unit

***

(3)
Density functional theory data (PBE) for crystalline BaNa5 at its relaxed geometry.

a b c (Å): 6.0258 6.0258 8.1416
angles (deg): 90.00 90.00 120.00
Positions (direct):
Ba 0.0000 0.0000 0.0000
Na 0.0000 0.0000 0.5000
Na 0.3333 0.6667 0.2771
Na 0.3333 0.6667 0.7229
Na 0.6667 0.3333 0.2771
Na 0.6667 0.3333 0.7229

Summary:
Final energy   -8.3 eV per cell
Density   1.6 g/cm3
V   256.0 Å³ per cell
Energy relative to the elements   0.03 eV per atom
Size of the total moment   0.0 μB per formula unit

***

(4)
Density functional theory data (PBE) for crystalline Pm2AsI3 at its relaxed geometry.

a b c (Å): 9.4136 9.4136 12.8921
angles (deg): 119.83 119.83 28.57
Positions (direct):
Pm 0.0970 0.0970 0.4481
Pm 0.3587 0.3587 0.1908
Pm 0.6413 0.6413 0.8092
Pm 0.9030 0.9030 0.5519
As 0.0847 0.0847 0.6612
As 0.9153 0.9153 0.3388
I 0.1570 0.1570 0.0115
I 0.2682 0.2682 0.3873
I 0.4478 0.4478 0.7531
I 0.5522 0.5522 0.2469
I 0.7318 0.7318 0.6127
I 0.8430 0.8430 0.9885

Summary:
Final energy   -53.6 eV per cell
Density   5.3 g/cm3
Formation energy without anion corrections   -1.33 eV/atom
V   468.9 Å³ per cell
Size of the total moment   0.0 μB per formula unit